one | # CePm4Nd

A relaxed CePm4Nd crystal (PBE, the Alexandria database).

Cell: 8.532 8.532 8.532 Å, 133.63 92.00 105.96°
Positions (direct):
Ce (0.500, 0.000, 0.000)
Ce (0.500, 0.500, 0.500)
Pm (0.171, 0.167, 0.496)
Pm (0.171, 0.675, 0.004)
Pm (0.173, 0.166, 0.007)
Pm (0.341, 0.834, 0.507)
Pm (0.659, 0.166, 0.493)
Pm (0.827, 0.834, 0.993)
Pm (0.829, 0.325, 0.996)
Pm (0.829, 0.833, 0.504)
Nd (0.000, 0.500, 0.500)
Nd (0.500, 0.500, 0.000)

Values from the calculation:
total magnetization = 1.3 μB/f.u.

***

two | # CePm4Nd

A relaxed CePm4Nd crystal (PBE, the Alexandria database).

Cell: 6.068 6.068 11.622 Å, 117.29 117.29 33.02°
Positions (direct):
Ce (0.000, 0.000, 0.000)
Pm (0.158, 0.158, 0.339)
Pm (0.342, 0.342, 0.155)
Pm (0.658, 0.658, 0.845)
Pm (0.842, 0.842, 0.661)
Nd (0.500, 0.500, 0.500)

Values from the calculation:
total magnetization = 1.4 μB/f.u.

***

Computed relative energies in units of meV per atom: one 31; two 0